12
Lattice="5.652 0.000 0.000 0.000 5.659 0.000 0.000 0.000 11.176" Properties=species:S:1:pos:R:3 comment="Ce4ThMg PBE optimized geometry" vol_a3_per_atom=29.79 e_above_lowest_polymorph_mev_per_atom=297 delta_e_f_ev_per_atom=0.5358 space_group="Cmmm (65)" crystal_system=orthorhombic total_magnetization_mub_per_fu=0.0 pbc="T T T"
Ce 1.413 1.415 2.786
Ce 1.413 1.415 8.389
Ce 1.413 4.245 2.786
Ce 1.413 4.245 8.389
Ce 4.239 1.415 2.786
Ce 4.239 1.415 8.389
Ce 4.239 4.245 2.786
Ce 4.239 4.245 8.389
Th 0.000 0.000 0.000
Th 2.826 2.830 0.000
Mg 0.000 2.830 5.588
Mg 2.826 0.000 5.588